NbNiTe2: single point on PBEsol structure, SCAN.

Cell: 6.2021 7.2011 7.9121 Å, 90.00 90.00 90.00°
With the nearest neighbours (Å) after each atom.
Positions (direct):
Nb  0.5000  0.0000  0.7937  4 Ni 2.64-2.88, 4 Te 2.78-2.82
Nb  0.0000  0.0000  0.7063  4 Ni 2.64-2.88, 4 Te 2.78-2.82
Nb  0.0000  0.0000  0.2937  4 Ni 2.64-2.88, 4 Te 2.78-2.82
Nb  0.5000  0.0000  0.2063  4 Ni 2.64-2.88, 4 Te 2.78-2.82
Ni  0.1452  0.1211  0.0000  1 Ni 2.51, 4 Te 2.54-2.58, 2 Nb 2.64
Ni  0.3548  0.1211  0.5000  1 Ni 2.51, 4 Te 2.54-2.58, 2 Nb 2.64
Ni  0.8548  0.8789  0.0000  1 Ni 2.51, 4 Te 2.54-2.58, 2 Nb 2.64
Ni  0.6452  0.8789  0.5000  1 Ni 2.51, 4 Te 2.54-2.58, 2 Nb 2.64
Te  0.2487  0.7744  0.0000  2 Ni 2.56-2.58, 2 Nb 2.78
Te  0.2513  0.7744  0.5000  2 Ni 2.56-2.58, 2 Nb 2.78
Te  0.2500  0.3236  0.7500  2 Ni 2.54, 2 Nb 2.82
Te  0.2500  0.3236  0.2500  2 Ni 2.54, 2 Nb 2.82
Te  0.7513  0.2256  0.0000  2 Ni 2.56-2.58, 2 Nb 2.78
Te  0.7487  0.2256  0.5000  2 Ni 2.56-2.58, 2 Nb 2.78
Te  0.7500  0.6764  0.7500  2 Ni 2.54, 2 Nb 2.82
Te  0.7500  0.6764  0.2500  2 Ni 2.54, 2 Nb 2.82

Values from the calculation:
Space-group type: Pmna
Crystal system: orthorhombic
Magnetization (μB per formula unit): 0.0
V (Å³/cell): 353
E_tot (eV/atom): -31.429
Formation energy without anion corrections (meV per atom): -478